# KPaSe2O8 PBE-GGA optimized geometry
data_KPaSe2O8
_chemical_formula_sum 'K1 Pa1 Se2 O8'
_cell_length_a 6.0415
_cell_length_b 6.0415
_cell_length_c 7.7438
_cell_angle_alpha 90.00
_cell_angle_beta 90.00
_cell_angle_gamma 120.00
_space_group_name_H-M_alt 'P -3 m 1'
_space_group_IT_number 164
_space_group_name_Hall '-P 3 2"'
loop_
_atom_site_label
_atom_site_type_symbol
_atom_site_fract_x
_atom_site_fract_y
_atom_site_fract_z
K1 K 0.0000 0.0000 0.0000
Pa1 Pa 0.0000 0.0000 0.5000
Se1 Se 0.3333 0.6667 0.2640
O1 O 0.1613 0.3226 0.3234
O2 O 0.3333 0.6667 0.0524
# ΔE_f (raw)   -1.531 eV/atom
# Volume   20.4 Å³ per atom
# Spin magnetization   0.00 μB/atom



# K2PaSeO6 PBE-GGA optimized geometry
data_K2PaSeO6
_chemical_formula_sum 'K8 Pa4 Se4 O24'
_cell_length_a 8.290
_cell_length_b 8.290
_cell_length_c 8.290
_cell_angle_alpha 90.00
_cell_angle_beta 90.00
_cell_angle_gamma 90.00
_space_group_name_H-M_alt 'F m -3 m'
_space_group_IT_number 225
_space_group_name_Hall '-F 4 2 3'
loop_
_atom_site_label
_atom_site_type_symbol
_atom_site_fract_x
_atom_site_fract_y
_atom_site_fract_z
K1 K 0.250 0.250 0.250
Pa1 Pa 0.000 0.000 0.000
Se1 Se 0.000 0.000 0.500
O1 O 0.000 0.000 0.262
# ΔE_f (raw)   -1.976 eV/atom
# Volume   14.2 Å³ per atom
# Spin magnetization   0.00 μB/atom



# K2PaSe2O2 PBE-GGA optimized geometry
data_K2PaSe2O2
_chemical_formula_sum 'K4 Pa2 Se4 O4'
_cell_length_a 4.406
_cell_length_b 4.406
_cell_length_c 17.606
_cell_angle_alpha 90.00
_cell_angle_beta 90.00
_cell_angle_gamma 90.00
_space_group_name_H-M_alt 'I 4/m m m'
_space_group_IT_number 139
_space_group_name_Hall '-I 4 2'
loop_
_atom_site_label
_atom_site_type_symbol
_atom_site_fract_x
_atom_site_fract_y
_atom_site_fract_z
K1 K 0.000 0.000 0.143
Pa1 Pa 0.000 0.000 0.500
Se1 Se 0.000 0.000 0.337
O1 O 0.000 0.500 0.000
# ΔE_f (raw)   -1.945 eV/atom
# Volume   24.4 Å³ per atom
# Spin magnetization   0.14 μB/atom



# KPa2SeO8 PBE-GGA optimized geometry
data_KPa2SeO8
_chemical_formula_sum 'K1 Pa2 Se1 O8'
_cell_length_a 5.2515
_cell_length_b 5.2515
_cell_length_c 7.9490
_cell_angle_alpha 90.00
_cell_angle_beta 90.00
_cell_angle_gamma 120.00
_space_group_name_H-M_alt 'P -3 m 1'
_space_group_IT_number 164
_space_group_name_Hall '-P 3 2"'
loop_
_atom_site_label
_atom_site_type_symbol
_atom_site_fract_x
_atom_site_fract_y
_atom_site_fract_z
K1 K 0.0000 0.0000 0.0000
Pa1 Pa 0.3333 0.6667 0.3631
Se1 Se 0.0000 0.0000 0.5000
O1 O 0.1702 0.3404 0.6280
O2 O 0.3333 0.6667 0.1268
# ΔE_f (raw)   -2.196 eV/atom
# Volume   15.8 Å³ per atom
# Spin magnetization   0.04 μB/atom



# KPaSeO2 PBE-GGA optimized geometry
data_KPaSeO2
_chemical_formula_sum 'K1 Pa1 Se1 O2'
_cell_length_a 4.332
_cell_length_b 4.332
_cell_length_c 5.767
_cell_angle_alpha 90.00
_cell_angle_beta 90.00
_cell_angle_gamma 90.00
_space_group_name_H-M_alt 'P 4 m m'
_space_group_IT_number 99
_space_group_name_Hall 'P 4 -2'
loop_
_atom_site_label
_atom_site_type_symbol
_atom_site_fract_x
_atom_site_fract_y
_atom_site_fract_z
K1 K 0.000 0.000 0.000
Pa1 Pa 0.500 0.500 0.398
Se1 Se 0.500 0.500 0.889
O1 O 0.000 0.500 0.372
# ΔE_f (raw)   -2.569 eV/atom
# Volume   21.6 Å³ per atom
# Spin magnetization   0.00 μB/atom



# K2PaSi3O12 PBE-GGA optimized geometry
data_K2PaSi3O12
_chemical_formula_sum 'K6 Pa3 Si9 O36'
_cell_length_a 6.7854
_cell_length_b 6.7854
_cell_length_c 17.7944
_cell_angle_alpha 90.00
_cell_angle_beta 90.00
_cell_angle_gamma 120.00
_space_group_name_H-M_alt 'R -3 m'
_space_group_IT_number 166
_space_group_name_Hall '-R 3 2"'
loop_
_atom_site_label
_atom_site_type_symbol
_atom_site_fract_x
_atom_site_fract_y
_atom_site_fract_z
K1 K 0.0000 0.0000 0.1126
Pa1 Pa 0.0000 0.0000 0.5000
Si1 Si 0.0000 0.5000 0.0000
O1 O 0.0290 0.5145 0.0985
O2 O 0.0813 0.5406 0.3418
# ΔE_f (raw)   -2.092 eV/atom
# Volume   13.1 Å³ per atom
# Spin magnetization   0.25 μB/atom



# KPaSiO6 PBE-GGA optimized geometry
data_KPaSiO6
_chemical_formula_sum 'K1 Pa1 Si1 O6'
_cell_length_a 5.3052
_cell_length_b 5.3052
_cell_length_c 6.0007
_cell_angle_alpha 90.00
_cell_angle_beta 90.00
_cell_angle_gamma 120.00
_space_group_name_H-M_alt 'P 3 1 2'
_space_group_IT_number 149
_space_group_name_Hall 'P 3 2'
loop_
_atom_site_label
_atom_site_type_symbol
_atom_site_fract_x
_atom_site_fract_y
_atom_site_fract_z
K1 K 0.0000 0.0000 0.0000
Pa1 Pa 0.3333 0.6667 0.5000
Si1 Si 0.6667 0.3333 0.5000
O1 O 0.4029 0.0474 0.6757
# ΔE_f (raw)   -2.302 eV/atom
# Volume   16.3 Å³ per atom
# Spin magnetization   0.20 μB/atom



# KPaSiO5 PBE-GGA optimized geometry
data_KPaSiO5
_chemical_formula_sum 'K4 Pa4 Si4 O20'
_cell_length_a 7.335
_cell_length_b 9.554
_cell_length_c 8.060
_cell_angle_alpha 90.00
_cell_angle_beta 115.50
_cell_angle_gamma 90.00
_space_group_name_H-M_alt 'C 1 2/c 1'
_space_group_IT_number 15
_space_group_name_Hall '-C 2yc'
loop_
_atom_site_label
_atom_site_type_symbol
_atom_site_fract_x
_atom_site_fract_y
_atom_site_fract_z
K1 K 0.000 0.164 0.250
Pa1 Pa 0.000 0.500 0.000
Si1 Si 0.000 0.186 0.750
O1 O 0.000 0.432 0.250
O2 O 0.079 0.287 0.626
O3 O 0.186 0.081 0.884
# ΔE_f (raw)   -3.018 eV/atom
# Volume   15.9 Å³ per atom
# Spin magnetization   0.00 μB/atom



# K2SmPaO5 PBE-GGA optimized geometry
data_K2SmPaO5
_chemical_formula_sum 'K2 Sm1 Pa1 O5'
_cell_length_a 4.256
_cell_length_b 4.256
_cell_length_c 8.980
_cell_angle_alpha 90.00
_cell_angle_beta 90.00
_cell_angle_gamma 90.00
_space_group_name_H-M_alt 'P 4/m m m'
_space_group_IT_number 123
_space_group_name_Hall '-P 4 2'
loop_
_atom_site_label
_atom_site_type_symbol
_atom_site_fract_x
_atom_site_fract_y
_atom_site_fract_z
K1 K 0.000 0.000 0.220
Sm1 Sm 0.500 0.500 0.500
Pa1 Pa 0.500 0.500 0.000
O1 O 0.000 0.000 0.500
O2 O 0.000 0.500 0.000
O3 O 0.500 0.500 0.250
# ΔE_f (raw)   -2.648 eV/atom
# Volume   18.1 Å³ per atom
# Spin magnetization   0.01 μB/atom



# K4SmPa3O12 PBE-GGA optimized geometry
data_K4SmPa3O12
_chemical_formula_sum 'K8 Sm2 Pa6 O24'
_cell_length_a 8.821
_cell_length_b 8.821
_cell_length_c 8.821
_cell_angle_alpha 90.00
_cell_angle_beta 90.00
_cell_angle_gamma 90.00
_space_group_name_H-M_alt 'I m -3 m'
_space_group_IT_number 229
_space_group_name_Hall '-I 4 2 3'
loop_
_atom_site_label
_atom_site_type_symbol
_atom_site_fract_x
_atom_site_fract_y
_atom_site_fract_z
K1 K 0.250 0.250 0.250
Sm1 Sm 0.000 0.000 0.000
Pa1 Pa 0.000 0.000 0.500
O1 O 0.000 0.000 0.264
O2 O 0.000 0.250 0.500
# ΔE_f (raw)   -2.842 eV/atom
# Volume   17.2 Å³ per atom
# Spin magnetization   0.00 μB/atom



# K2SmPaO6 PBE-GGA optimized geometry
data_K2SmPaO6
_chemical_formula_sum 'K8 Sm4 Pa4 O24'
_cell_length_a 8.884
_cell_length_b 8.884
_cell_length_c 8.884
_cell_angle_alpha 90.00
_cell_angle_beta 90.00
_cell_angle_gamma 90.00
_space_group_name_H-M_alt 'F m -3 m'
_space_group_IT_number 225
_space_group_name_Hall '-F 4 2 3'
loop_
_atom_site_label
_atom_site_type_symbol
_atom_site_fract_x
_atom_site_fract_y
_atom_site_fract_z
K1 K 0.250 0.250 0.250
Sm1 Sm 0.000 0.000 0.000
Pa1 Pa 0.000 0.000 0.500
O1 O 0.000 0.000 0.260
# ΔE_f (raw)   -2.519 eV/atom
# Volume   17.5 Å³ per atom
# Spin magnetization   0.20 μB/atom



# K3PaSn2O9 PBE-GGA optimized geometry
data_K3PaSn2O9
_chemical_formula_sum 'K3 Pa1 Sn2 O9'
_cell_length_a 5.9777
_cell_length_b 5.9777
_cell_length_c 7.3273
_cell_angle_alpha 90.00
_cell_angle_beta 90.00
_cell_angle_gamma 120.00
_space_group_name_H-M_alt 'P -3 m 1'
_space_group_IT_number 164
_space_group_name_Hall '-P 3 2"'
loop_
_atom_site_label
_atom_site_type_symbol
_atom_site_fract_x
_atom_site_fract_y
_atom_site_fract_z
K1 K 0.0000 0.0000 0.0000
K2 K 0.3333 0.6667 0.6735
Pa1 Pa 0.0000 0.0000 0.5000
Sn1 Sn 0.3333 0.6667 0.1628
O1 O 0.0000 0.5000 0.0000
O2 O 0.1694 0.3388 0.3271
# ΔE_f (raw)   -1.944 eV/atom
# Volume   15.1 Å³ per atom
# Spin magnetization   0.13 μB/atom